Computed, not measured: an optimized crystal structure of PRh2Cl at the GGA-PBEsol level of DFT.

a = 3.4216 Å, b = 4.0319 Å, c = 5.2348 Å
α = 90.00°, β = 94.22°, γ = 90.00°
Last column: nearest neighbours and their distance in Å.
Sites, in units of the cell vectors:
P 0.0000 0.0000 0.0000  4 Rh 2.21-2.30
Rh 0.0304 0.5000 0.1734  2 P 2.21, 1 Cl 2.39
Rh 0.5327 0.0000 0.2950  2 P 2.30, 2 Cl 2.47
Cl 0.4516 0.5000 0.5580  3 Rh 2.39-2.47

Energy above the most stable polymorph in this dataset: 0.000 eV per atom
V: 72 Å³/cell
E_tot: -24.50 eV per cell